(1)
KNi2SnN: optimized geometry, PBE-GGA.

Results
space group: P4/mmm (123)
raw formation energy: 8.56 eV/f.u.

abc: 4.696 6.902 4.696
angles: 90.00 90.00 90.00
Each line ends with the local moment (μB).
Element x y z (fractional)
Ni  0.000  0.000  0.500  -0.01
Ni  0.500  0.000  0.000  -0.07
K  0.000  0.500  0.000  0.00
Sn  0.000  0.000  0.000  0.00
N  0.500  0.500  0.500  0.40

(2)
KSrNiN2: optimized geometry, PBE-GGA.

Results
space group: P4/mmm (123)
raw formation energy: 5.49 eV/f.u.

abc: 4.184 4.648 4.184
angles: 90.00 90.00 90.00
Element x y z (fractional)
Sr  0.000  0.500  0.000
K  0.500  0.500  0.500
N  0.000  0.000  0.500
N  0.500  0.000  0.000
Ni  0.000  0.000  0.000

(3)
K2SrNiN: optimized geometry, PBE-GGA.

Results
space group: P4/mmm (123)
raw formation energy: 5.58 eV/f.u.

abc: 5.643 5.555 5.643
angles: 90.00 90.00 90.00
Each line ends with the local moment (μB).
Element x y z (fractional)
Sr  0.000  0.500  0.000  -0.05
K  0.000  0.000  0.500  -0.01
K  0.500  0.000  0.000  -0.01
N  0.500  0.500  0.500  0.85
Ni  0.000  0.000  0.000  0.06

(4)
KTaNiN2: optimized geometry, PBE-GGA.

Results
space group: P4/mmm (123)
raw formation energy: 5.81 eV/f.u.

abc: 4.035 6.799 4.035
angles: 90.00 90.00 90.00
Each line ends with the local moment (μB).
Element x y z (fractional)
Ni  0.500  0.500  0.500  0.69
K  0.000  0.500  0.000  0.00
N  0.000  0.000  0.500  0.17
N  0.500  0.000  0.000  0.10
Ta  0.000  0.000  0.000  0.14

(5)
K2TcNiN: optimized geometry, PBE-GGA.

Results
space group: P4/mmm (123)
raw formation energy: 4.11 eV/f.u.

abc: 5.736 3.820 5.736
angles: 90.00 90.00 90.00
Each line ends with the local moment (μB).
Element x y z (fractional)
Ni  0.500  0.500  0.500  0.95
K  0.000  0.000  0.500  0.01
K  0.500  0.000  0.000  0.01
Tc  0.000  0.500  0.000  1.55
N  0.000  0.000  0.000  -0.07

(6)
KTc2NiN: optimized geometry, PBE-GGA.

Results
space group: P4/mmm (123)
raw formation energy: 8.62 eV/f.u.

abc: 5.201 3.438 5.201
angles: 90.00 90.00 90.00
Each line ends with the local moment (μB).
Element x y z (fractional)
Ni  0.000  0.000  0.000  0.21
K  0.500  0.500  0.500  0.04
Tc  0.000  0.000  0.500  2.83
Tc  0.500  0.000  0.000  2.79
N  0.000  0.500  0.000  0.04

(7)
KNiTe2N: optimized geometry, PBE-GGA.

Results
space group: P4/mmm (123)
raw formation energy: 0.50 eV/f.u.
ΔE to the lowest computed polymorph: 0 meV/atom

abc: 5.925 5.925 3.392
angles: 90.00 90.00 90.00
Element x y z (fractional)
Ni  0.000  0.000  0.000
K  0.500  0.500  0.500
Te  0.000  0.500  0.000
Te  0.500  0.000  0.000
N  0.000  0.000  0.500

(8)
KNiTeN2: optimized geometry, PBE-GGA.

Results
space group: P4/mmm (123)
raw formation energy: 6.09 eV/f.u.
ΔE to the lowest computed polymorph: 0 meV/atom

abc: 4.214 4.214 5.247
angles: 90.00 90.00 90.00
Each line ends with the local moment (μB).
Element x y z (fractional)
Ni  0.000  0.000  0.000  0.45
K  0.500  0.500  0.500  0.01
Te  0.000  0.000  0.500  0.09
N  0.000  0.500  0.000  1.07
N  0.500  0.000  0.000  1.07

(9)
KNiTe2N: optimized geometry, PBE-GGA.

Results
space group: P4/mmm (123)
raw formation energy: 9.66 eV/f.u.
ΔE to the lowest computed polymorph: 1832 meV/atom

abc: 6.070 6.070 4.818
angles: 90.00 90.00 90.00
Each line ends with the local moment (μB).
Element x y z (fractional)
Ni  0.500  0.500  0.500  1.05
K  0.000  0.000  0.000  0.06
Te  0.000  0.500  0.000  0.22
Te  0.500  0.000  0.000  0.22
N  0.000  0.000  0.500  1.74

(10)
KNiTeN2: optimized geometry, PBE-GGA.

Results
space group: P4/mmm (123)
raw formation energy: 12.18 eV/f.u.
ΔE to the lowest computed polymorph: 1218 meV/atom

abc: 4.711 4.711 6.833
angles: 90.00 90.00 90.00
Each line ends with the local moment (μB).
Element x y z (fractional)
Ni  0.500  0.500  0.500  1.08
K  0.000  0.000  0.000  0.12
Te  0.000  0.000  0.500  0.22
N  0.000  0.500  0.000  1.71
N  0.500  0.000  0.000  1.71

(11)
K2TlNiN: optimized geometry, PBE-GGA.

Results
space group: P4/mmm (123)
raw formation energy: 0.45 eV/f.u.

abc: 6.262 6.262 3.444
angles: 90.00 90.00 90.00
Element x y z (fractional)
Ni  0.000  0.000  0.500
Tl  0.500  0.500  0.500
K  0.000  0.500  0.000
K  0.500  0.000  0.000
N  0.000  0.000  0.000

(12)
K4U3NiN8: optimized geometry, PBE-GGA.

Results
space group: C2/m (12)
raw formation energy: -11.08 eV/f.u.

abc: 6.566 7.357 7.099
angles: 116.23 117.54 90.00
Element x y z (fractional)
K  0.500  0.000  0.000
K  0.500  0.000  0.500
K  0.000  0.000  0.000
K  0.000  0.000  0.500
U  0.500  0.500  0.000
U  0.500  0.500  0.500
U  0.000  0.500  0.500
Ni  0.000  0.500  0.000
N  0.208  0.643  0.926
N  0.273  0.694  0.545
N  0.277  0.331  0.554
N  0.718  0.643  0.926
N  0.282  0.357  0.074
N  0.723  0.669  0.446
N  0.727  0.306  0.455
N  0.792  0.357  0.074

Going through the records in order, we get size of the total moment values of 0.52; 0.00; 1.00; 1.40; 2.84; 6.79; 0.00; 3.69; 4.49; 6.73; 0.00; 0.00 μB/f.u..